No. 1
DFT (PBE) results for AcBiHPd after structural relaxation.

Computed properties:
Its space group is P3m1 (156). The density of states at the Fermi level comes out at 1.6 states/eV/f.u. As for the magnetization: 0.000 μB/atom. Its calculated volume is 88.80 Å³/f.u. The energy above the most stable polymorph in this dataset is 0.000 eV per atom. The electronic total energy comes out at -4.85 eV per atom.

Cell: 4.7786 4.7785 4.4904 Å, 90.00 90.00 120.00°
Atoms (fractional coordinates):
Pd  0.2386  0.4772  0.8870
Ac  0.5719  0.1438  0.3014
H  0.2386  0.4772  0.2707
Bi  0.9052  0.8105  0.7800

---

No. 2
DFT (PBE) results for AcBiHPd3 after structural relaxation.

Computed properties:
Its space group is Cmcm (63). The density of states at the Fermi level comes out at 2.5 states/eV/f.u. As for the magnetization: 0.000 μB/atom. Its calculated volume is 120.34 Å³/f.u. The electronic total energy comes out at -5.01 eV per atom.

Cell: 6.0328 6.9261 6.7211 Å, 121.01 90.00 90.00°
Atoms (fractional coordinates):
Ac  0.7500  0.2410  0.4820
Ac  0.2500  0.7590  0.5180
Bi  0.2500  0.4079  0.8157
Bi  0.7500  0.5921  0.1843
Pd  0.0000  0.1977  0.0000
Pd  0.7500  0.8265  0.6530
Pd  0.0000  0.8023  0.0000
Pd  0.2500  0.1735  0.3470
Pd  0.5000  0.8023  0.0000
Pd  0.5000  0.1977  0.0000
H  0.2500  0.0088  0.0176
H  0.7500  0.9912  0.9824

---

No. 3
DFT (PBE) results for AcBiH6Pd2 after structural relaxation.

Computed properties:
Its space group is C2/c (15). The density of states at the Fermi level comes out at 1.2 states/eV/f.u. As for the magnetization: 0.000 μB/atom. Its calculated volume is 125.10 Å³/f.u. The electronic total energy comes out at -4.12 eV per atom.

Cell: 7.4912 7.4912 4.7781 Å, 85.91 85.91 109.89°
Atoms (fractional coordinates):
Pd  0.3318  0.1743  0.7260
Pd  0.6682  0.8257  0.2740
Pd  0.1743  0.3318  0.2260
Pd  0.8257  0.6682  0.7740
H  0.1812  0.5099  0.4341
H  0.1512  0.1407  0.5023
H  0.0516  0.6750  0.7944
H  0.6750  0.0516  0.2944
H  0.3250  0.9484  0.7056
H  0.8188  0.4901  0.5659
H  0.4901  0.8188  0.0659
H  0.8593  0.8488  0.9977
H  0.1407  0.1512  0.0023
H  0.9484  0.3250  0.2056
H  0.8488  0.8593  0.4977
H  0.5099  0.1812  0.9341
Ac  0.8320  0.1680  0.7500
Ac  0.1680  0.8320  0.2500
Bi  0.6059  0.3941  0.2500
Bi  0.3941  0.6059  0.7500